one:
Here is crystalline Sc3Si2Ni at its relaxed geometry from Alexandria via LeMat-Bulk. Energies are from GGA-PBE.

a = 6.333 Å, b = 6.333 Å, c = 6.614 Å
α = 90.00°, β = 90.00°, γ = 120.00°
Positions (direct):
Ni 0.000 0.000 0.500
Si 0.667 0.333 0.921
Sc 0.659 0.830 0.750
Sc 0.341 0.170 0.250
Sc 0.830 0.170 0.250
Sc 0.170 0.830 0.750
Sc 0.170 0.341 0.750
Si 0.333 0.667 0.079
Sc 0.830 0.659 0.250
Si 0.333 0.667 0.421
Si 0.667 0.333 0.579
Ni 0.000 0.000 0.000

Results
Symmetry: No. 194
ρ in g cm⁻³: 3.61
Crystal system: hexagonal
Total magnetic moment in μB per atom: 0.00


two:
Here is crystalline Sc3Si2Ni at its relaxed geometry from Alexandria via LeMat-Bulk. Energies are from GGA-PBE.

a = 3.964 Å, b = 10.338 Å, c = 10.632 Å
α = 90.00°, β = 90.00°, γ = 90.00°
Positions (direct):
Si 0.750 0.312 0.519
Ni 0.250 0.366 0.629
Sc 0.250 0.064 0.878
Si 0.750 0.002 0.694
Sc 0.250 0.436 0.378
Si 0.250 0.502 0.806
Sc 0.250 0.695 0.217
Si 0.250 0.688 0.481
Sc 0.250 0.123 0.554
Sc 0.250 0.805 0.717
Si 0.750 0.188 0.019
Sc 0.750 0.564 0.622
Si 0.250 0.998 0.306
Si 0.750 0.498 0.194
Si 0.250 0.812 0.981
Sc 0.750 0.305 0.783
Sc 0.250 0.377 0.054
Sc 0.750 0.936 0.122
Ni 0.750 0.866 0.871
Sc 0.750 0.623 0.946
Sc 0.750 0.877 0.446
Sc 0.750 0.195 0.283
Ni 0.750 0.634 0.371
Ni 0.250 0.134 0.129

Results
Symmetry: No. 62
ρ in g cm⁻³: 3.81
Crystal system: orthorhombic
Total magnetic moment in μB per atom: 0.00


The least stable of the structures above is one, whereas two is the most stable.